Ac4AlZnI2 | GGA-PBE | relaxed

Cell lengths 8.049, 4.654, 8.569 Å; angles 90.00, 108.21, 90.00 degrees
Fractional coordinates of all 8 atoms:
1 Ac 0.235 0.000 0.214
2 Ac 0.259 0.500 0.782
3 Ac 0.741 0.500 0.218
4 Ac 0.765 0.000 0.786
5 Al 0.500 0.000 0.000
6 Zn 0.000 0.500 0.000
7 I 0.000 0.000 0.500
8 I 0.500 0.500 0.500

Total DFT energy (no corrections) (eV per atom): -3.63
Theoretical density (g/cm3): 6.83
Formation energy from raw total energies (eV per atom): -0.560